GaCuF4, relaxed, DFT PBE-GGA; total DFT energy (no corrections) = -4.22 eV/atom; space group = P-42c
1.0
3.929 0.000 0.000
0.000 3.929 0.000
0.000 0.000 9.925
F Ga Cu
8 2 2
direct
0.730 0.251 0.858
0.251 0.730 0.358
0.749 0.730 0.142
0.270 0.251 0.642
0.251 0.270 0.142
0.270 0.749 0.858
0.749 0.270 0.358
0.730 0.749 0.642
0.000 0.500 0.750
0.500 0.000 0.250
0.000 0.000 0.000
0.000 0.000 0.500



GaCu3NF3, relaxed, DFT PBE-GGA; total DFT energy (no corrections) = -4.18 eV/atom; space group = Aem2
1.0
6.365 0.000 0.000
0.000 2.946 5.002
0.000 -2.946 5.002
F Cu N Ga
6 6 2 2
direct
0.500 0.226 0.226
0.334 0.264 0.764
0.000 0.422 0.422
0.666 0.764 0.264
0.000 0.922 0.922
0.500 0.726 0.726
0.461 0.629 0.129
0.539 0.129 0.629
0.813 0.763 0.660
0.187 0.263 0.160
0.187 0.660 0.763
0.813 0.160 0.263
0.062 0.926 0.426
0.938 0.426 0.926
0.843 0.247 0.747
0.157 0.747 0.247



CuGe2Te2F2, relaxed, DFT PBE-GGA; total DFT energy (no corrections) = -4.00 eV/atom; space group = P-4m2
1.0
-3.788 -0.356 0.175
0.325 -3.749 -0.587
0.554 -1.389 9.169
Ge Te F Cu
2 2 2 1
direct
0.500 0.000 0.847
0.000 0.500 0.153
0.000 0.500 0.684
0.500 0.000 0.316
0.000 0.000 0.000
0.500 0.500 0.000
0.500 0.500 0.500



Rb2CuHgF6, relaxed, DFT PBE-GGA; total DFT energy (no corrections) = -3.69 eV/atom; offset from the most stable computed form = 16 meV/atom; space group = R-3m
1.0
5.161 -2.986 0.000
5.161 2.986 0.000
-3.435 0.000 4.873
F Cu Rb Hg
6 1 2 1
direct
0.765 0.234 0.234
0.235 0.766 0.766
0.234 0.765 0.234
0.235 0.235 0.235
0.766 0.235 0.766
0.765 0.765 0.765
0.000 0.000 0.000
0.750 0.750 0.250
0.250 0.250 0.750
0.500 0.500 0.500



Rb2CuHgF6, relaxed, DFT PBE-GGA; total DFT energy (no corrections) = -3.71 eV/atom; offset from the most stable computed form = 0 meV/atom; space group = Fm-3m
1.0
-1.367 4.008 4.268
-2.248 3.689 -4.181
-2.014 -5.649 0.423
Hg F Rb Cu
1 6 2 1
direct
0.500 0.500 0.000
0.234 0.234 0.468
0.234 0.766 0.000
0.766 0.766 0.532
0.234 0.234 0.000
0.766 0.766 0.000
0.766 0.234 0.000
0.750 0.250 0.500
0.250 0.750 0.500
0.000 0.000 0.000



Tl2CuHgF6, relaxed, DFT PBE-GGA; total DFT energy (no corrections) = -3.56 eV/atom; space group = Fm-3m
1.0
0.000 4.227 4.227
4.227 0.000 4.227
4.227 4.227 0.000
Tl F Hg Cu
2 6 1 1
direct
0.750 0.750 0.750
0.250 0.250 0.250
0.234 0.766 0.766
0.766 0.234 0.234
0.766 0.234 0.766
0.766 0.766 0.234
0.234 0.766 0.234
0.234 0.234 0.766
0.500 0.500 0.500
0.000 0.000 0.000



CuPbIF2, relaxed, DFT PBE-GGA; total DFT energy (no corrections) = -3.72 eV/atom; space group = Cmcm
1.0
3.167 0.824 5.831
-6.515 -0.840 -1.252
0.637 -5.608 0.446
I F Cu Pb
2 4 2 2
direct
0.251 0.749 0.250
0.749 0.251 0.750
0.238 0.238 0.000
0.762 0.762 0.000
0.238 0.238 0.500
0.762 0.762 0.500
0.912 0.088 0.250
0.088 0.912 0.750
0.612 0.388 0.250
0.388 0.612 0.750



K2InCuF6, relaxed, DFT PBE-GGA; total DFT energy (no corrections) = -4.28 eV/atom; space group = R-3m
1.0
2.668 3.440 -3.918
-2.890 4.505 -2.379
1.598 0.200 5.631
F Cu In K
6 1 1 2
direct
0.250 0.749 0.250
0.749 0.749 0.749
0.749 0.250 0.250
0.251 0.251 0.251
0.251 0.750 0.750
0.750 0.251 0.750
0.500 0.500 0.500
0.000 0.000 0.000
0.250 0.250 0.750
0.750 0.750 0.250